The following is a DFT calculation (PBE) of a geometry-optimized CaMoI2N structure. Values from VASP.

magnetization: 3.0 Bohr magnetons per cell
density: 3.90 g/cm3
crystal system: tetragonal
uncorrected formation energy: 4.3 eV per formula unit
energy above the lowest structure with this stoichiometry: 100.8 kJ/mol of atoms

Quantum ESPRESSO input file:
```
&SYSTEM
  ibrav = 0, nat = 5, ntyp = 4
/
ATOMIC_SPECIES
Ca 40.08 Ca.upf
Mo 95.94 Mo.upf
I 126.90 I.upf
N 14.01 N.upf
CELL_PARAMETERS angstrom
6.100 0.000 0.000
0.000 6.100 0.000
0.000 0.000 4.621
ATOMIC_POSITIONS crystal
Ca 0.000 0.000 0.000
Mo 0.500 0.500 0.500
I 0.000 0.500 0.000
I 0.500 0.000 0.000
N 0.000 0.000 0.500
```